Ba2GaTcN: optimized geometry, PBE.

Summary:
E_form (uncorrected) in eV/atom: -0.160
D(E_F) in states/eV/cell: 3.5

a = 5.825 Å, b = 5.825 Å, c = 3.891 Å
α = 90.00°, β = 90.00°, γ = 90.00°
Space group P4/mmm (No. 123)
Asymmetric unit:
Ba 0.000 0.500 0.000 x2
Ga 0.000 0.000 0.500 x1
Tc 0.500 0.500 0.500 x1
N 0.500 0.500 0.000 x1

Ba2TiGaN: optimized geometry, PBE.

Summary:
E_form (uncorrected) in eV/atom: -0.397
D(E_F) in states/eV/cell: 3.9

a = 5.906 Å, b = 5.906 Å, c = 3.986 Å
α = 90.00°, β = 90.00°, γ = 90.00°
Space group P4/mmm (No. 123)
Asymmetric unit:
Ba 0.000 0.500 0.000 x2
Ti 0.000 0.000 0.500 x1
Ga 0.500 0.500 0.500 x1
N 0.000 0.000 0.000 x1

BaZrGaN3: optimized geometry, PBE.

Summary:
E_form (uncorrected) in eV/atom: -0.833

a = 7.507 Å, b = 3.415 Å, c = 8.272 Å
α = 90.00°, β = 104.16°, γ = 90.00°
Space group P2_1/m (No. 11)
Asymmetric unit:
Ba 0.194 0.250 0.225 x2
Zr 0.346 0.750 0.878 x2
Ga 0.111 0.250 0.607 x2
N 0.148 0.250 0.849 x2
N 0.170 0.750 0.510 x2
N 0.449 0.750 0.129 x2

BaNaGa: optimized geometry, PBE.

Summary:
Energy relative to the elements in eV per formula unit: -0.27
D(E_F) in states/eV/cell: 2.7
E above lowest polymorph in eV per atom: 0.1598

a = 5.4547 Å, b = 5.4547 Å, c = 3.9318 Å
α = 90.00°, β = 90.00°, γ = 120.00°
Space group P3m1 (No. 156)
Asymmetric unit:
Ba 0.0000 0.0000 0.0000 x1
Na 0.6667 0.3333 0.4988 x1
Ga 0.3333 0.6667 0.5009 x1

Ba4NaGa4: optimized geometry, PBE.

Summary:
Energy relative to the elements in eV per formula unit: -1.65
D(E_F) in states/eV/cell: 17.7

a = 10.144 Å, b = 10.144 Å, c = 6.693 Å
α = 90.00°, β = 90.00°, γ = 90.00°
Space group P4_2/n (No. 86, origin choice 2)
Asymmetric unit:
Ba 0.046 0.680 0.055 x8
Na 0.250 0.250 0.250 x2
Ga 0.007 0.383 0.450 x8

BaNaGa4: optimized geometry, PBE.

Summary:
Energy relative to the elements in eV per formula unit: -1.58
D(E_F) in states/eV/cell: 5.2
E above lowest polymorph in eV per atom: 0.0000

a = 4.381 Å, b = 7.628 Å, c = 9.912 Å
α = 90.00°, β = 90.00°, γ = 90.00°
Space group Immm (No. 71)
Asymmetric unit:
Ba 0.000 0.000 0.000 x2
Na 0.000 0.000 0.500 x2
Ga 0.000 0.333 0.249 x8

BaNaGa: optimized geometry, PBE.

Summary:
Energy relative to the elements in eV per formula unit: -0.19
D(E_F) in states/eV/cell: 9.2
E above lowest polymorph in eV per atom: 0.1869

a = 9.612 Å, b = 6.387 Å, c = 8.286 Å
α = 90.00°, β = 113.58°, γ = 90.00°
Space group C2/m (No. 12)
Asymmetric unit:
Ba 0.133 0.000 0.365 x4
Na 0.250 0.250 0.000 x4
Ga 0.018 0.500 0.660 x4

Ba3NaGa8: optimized geometry, PBE.

Summary:
Energy relative to the elements in eV per formula unit: -3.70
D(E_F) in states/eV/cell: 18.4

a = 5.9218 Å, b = 5.9218 Å, c = 29.4048 Å
α = 90.00°, β = 90.00°, γ = 120.00°
Space group R3m (No. 160, hexagonal axes)
Asymmetric unit:
Ba 0.0000 0.0000 0.0000 x3
Ba 0.0000 0.0000 0.1266 x3
Ba 0.0000 0.0000 0.6220 x3
Na 0.0000 0.0000 0.4983 x3
Ga 0.0000 0.0000 0.3140 x3
Ga 0.0000 0.0000 0.8110 x3
Ga 0.0022 0.5011 0.5602 x9
Ga 0.1670 0.3340 0.3970 x9